{"formula": "ErFeAs2O8", "functional": "PBE+U", "state": "relaxed", "lattice_angstrom": [[-3.4599, 3.4599, 3.1027], [3.4599, -3.4599, 3.1027], [3.4599, 3.4599, -3.1027]], "species": ["Er", "Fe", "As", "As", "O", "O", "O", "O", "O", "O", "O", "O"], "frac_coords": [[0.0000, 0.0000, 0.0000], [0.2500, 0.7500, 0.5000], [0.5000, 0.5000, 0.0000], [0.7500, 0.2500, 0.5000], [0.3184, 0.1291, 0.8107], [0.3184, 0.5078, 0.1893], [0.3804, 0.0603, 0.3201], [0.4922, 0.6816, 0.8107], [0.7402, 0.0603, 0.6799], [0.8709, 0.6816, 0.1893], [0.9397, 0.2598, 0.3201], [0.9397, 0.6196, 0.6799]], "vol_a3_per_cell": 148.57, "magnetic_moment_mub_per_fu": 5.05, "crystal_system": "tetragonal", "sg": "I-4m2, No. 119", "final_energy_ev_per_atom": -6.695}